Entry w
Here is a geometry-optimized TaAl2Cr2 structure from Alexandria. Energies are from GGA-PBE.

Summary:
The calculation puts the density of states at the Fermi level at 0.710 states/eV per atom. The symmetry is P4/mbm. The calculation puts the mass density at 7.56 Mg/m³. The value obtained for the total moment is 7.11 μB/cell.

a b c (Å): 7.158 7.158 2.907
angles (deg): 90.00 90.00 90.00
Fractional positions:
1 Ta 0.000 0.000 0.000
2 Ta 0.500 0.500 0.000
3 Al 0.143 0.357 0.500
4 Al 0.357 0.857 0.500
5 Al 0.643 0.143 0.500
6 Al 0.857 0.643 0.500
7 Cr 0.155 0.655 0.000
8 Cr 0.345 0.155 0.000
9 Cr 0.655 0.845 0.000
10 Cr 0.845 0.345 0.000



Entry x
Here is a geometry-optimized TaAl2Cr2 structure from Alexandria. Energies are from GGA-PBE.

Summary:
The calculation puts the density of states at the Fermi level at 1.117 states/eV per atom. The symmetry is P4/mbm. The calculation puts the mass density at 7.66 Mg/m³. The value obtained for the total moment is 5.39 μB/cell.

a b c (Å): 7.098 7.098 2.917
angles (deg): 90.00 90.00 90.00
Fractional positions:
1 Ta 0.000 0.000 0.000
2 Ta 0.500 0.500 0.000
3 Al 0.126 0.374 0.000
4 Al 0.374 0.874 0.000
5 Al 0.626 0.126 0.000
6 Al 0.874 0.626 0.000
7 Cr 0.172 0.672 0.500
8 Cr 0.328 0.172 0.500
9 Cr 0.672 0.828 0.500
10 Cr 0.828 0.328 0.500



Most stable = entry x



Entry w
Here is a geometry-optimized TaAlCr3 structure from Alexandria. Energies are from GGA-PBE.

Summary:
The calculation puts the density of states at the Fermi level at 0.662 states/eV per atom. The symmetry is Pm-3m. The calculation puts the mass density at 5.90 Mg/m³. The value obtained for the total moment is 8.01 μB/cell.

a b c (Å): 4.678 4.678 4.678
angles (deg): 90.00 90.00 90.00
Fractional positions:
1 Ta 0.000 0.000 0.000
2 Al 0.500 0.500 0.500
3 Cr 0.000 0.000 0.500
4 Cr 0.000 0.500 0.000
5 Cr 0.500 0.000 0.000



Entry x
Here is a geometry-optimized TaAlCr3 structure from Alexandria. Energies are from GGA-PBE.

Summary:
The calculation puts the density of states at the Fermi level at 1.527 states/eV per atom. The symmetry is Pm-3m. The calculation puts the mass density at 7.47 Mg/m³. The value obtained for the total moment is 4.82 μB/cell.

a b c (Å): 4.326 4.326 4.326
angles (deg): 90.00 90.00 90.00
Fractional positions:
1 Ta 0.000 0.000 0.000
2 Al 0.500 0.500 0.500
3 Cr 0.000 0.500 0.500
4 Cr 0.500 0.000 0.500
5 Cr 0.500 0.500 0.000



Most stable = entry x